No. 1
Compound: ZnTcSe2
Source: Alexandria
Functional: PBE-GGA
Structure: relaxed

Unit cell a=3.2528 b=4.9823 c=9.6601 alpha=90.00 beta=90.00 gamma=90.00
Last column: nearest neighbours and their distance in Å.
Space group Cmm2 (No. 35)
Inequivalent atoms, fractional coordinates:
Zn1 0.0000 0.0000 0.0000  2 Se 2.62, 2 Tc 2.66
Tc1 0.0000 0.5000 0.2185  2 Se 2.45, 2 Zn 2.66
Se1 0.0000 0.0000 0.4081  2 Tc 2.45
Se2 0.0000 0.5000 0.7880  2 Zn 2.62

Summary:
Formation energy without anion corrections: 0.24 eV/atom
Spin magnetization: 0.722 μB/f.u.
E above lowest polymorph: 517 meV/atom


No. 2
Compound: TbTmPd3
Source: Alexandria
Functional: PBE-GGA
Structure: relaxed

Unit cell a=4.6501 b=5.4570 c=8.3684 alpha=90.00 beta=106.04 gamma=90.00
Last column: nearest neighbours and their distance in Å.
Space group P2_1/m (No. 11)
Inequivalent atoms, fractional coordinates:
Tb1 0.1187 0.2500 0.2370  5 Pd 2.84-3.03
Tm1 0.3397 0.2500 0.6792  8 Pd 2.83-3.01
Pd1 0.0579 0.7500 0.1159  3 Tb 2.84-2.90, 2 Tm 2.85, 4 Pd 2.85
Pd2 0.2602 0.7500 0.5216  4 Tm 2.83-3.01, 2 Tb 3.03
Pd3 0.5000 0.0000 0.0000  6 Pd 2.73-2.85, 2 Tm 2.92

Summary:
Energy of formation from the pure elements: -84 kJ per mole of atoms
Spin magnetization: 0.000 μB/f.u.


No. 3
Compound: Mg3ScMo
Source: Alexandria
Functional: PBE-GGA
Structure: relaxed

Unit cell a=5.0469 b=5.0469 c=5.0469 alpha=90.00 beta=90.00 gamma=90.00
Last column: nearest neighbours and their distance in Å.
Space group Pm-3m (No. 221)
Inequivalent atoms, fractional coordinates:
Mg1 0.0000 0.0000 0.5000  2 Mo 2.52
Sc1 0.5000 0.5000 0.5000  12 Mg 3.57
Mo1 0.0000 0.0000 0.0000  6 Mg 2.52

Summary:
Energy of formation from the pure elements: 90 kJ per mole of atoms
Spin magnetization: 1.116 μB/f.u.
E above lowest polymorph: 0 meV/atom


- Number 2 is which compound?
  TbTmPd3